ZrIrW at its PBEsol-relaxed geometry. Source: Alexandria, functional meta-GGA SCAN.

Cell: 4.368 4.368 4.368 Å, 60.00 60.00 60.00°
Fractional positions:
1 Zr 0.000 0.000 0.000
2 Ir 0.250 0.250 0.250
3 W 0.750 0.750 0.750

DFT total energy, eV for the cell shown: -168.7
ΔE_f, eV per atom: 0.921
Spin magnetization, μB per cell: 2.30


MnCd2Se at its PBEsol-relaxed geometry. Source: Alexandria, functional meta-GGA SCAN.

Cell: 2.943 2.943 8.760 Å, 90.00 90.00 90.10°
Fractional positions:
1 Mn 0.000 0.000 0.000
2 Cd 0.500 0.500 0.217
3 Cd 0.500 0.500 0.783
4 Se 0.000 0.000 0.500

Formation energy (no corrections), eV/atom: 0.12
DFT total energy, eV for the cell shown: -98.7
Spin magnetization, μB per cell: 3.67


Er2CdHg at its PBEsol-relaxed geometry. Source: Alexandria, functional meta-GGA SCAN.

Cell: 5.134 5.134 5.134 Å, 60.00 60.00 60.00°
Fractional positions:
1 Er 0.250 0.250 0.250
2 Er 0.750 0.750 0.750
3 Cd 0.000 0.000 0.000
4 Hg 0.500 0.500 0.500

DFT total energy, eV for the cell shown: -201.5
ΔE_f, eV per atom: -0.564
Spin magnetization, μB per cell: 0.00


BaCaCu2 at its PBEsol-relaxed geometry. Source: Alexandria, functional meta-GGA SCAN.

Cell: 5.220 5.220 5.220 Å, 60.00 60.00 60.00°
Fractional positions:
1 Ba 0.000 0.000 0.000
2 Ca 0.500 0.500 0.500
3 Cu 0.250 0.250 0.250
4 Cu 0.750 0.750 0.750

DFT total energy, eV for the cell shown: -79.2
ΔE_f, eV per atom: 0.115
Spin magnetization, μB per cell: 0.00


TaOs5 at its PBEsol-relaxed geometry. Source: Alexandria, functional meta-GGA SCAN.

Cell: 5.181 5.181 6.502 Å, 103.39 103.39 30.83°
Fractional positions:
1 Ta 0.000 0.000 0.000
2 Os 0.274 0.274 0.051
3 Os 0.331 0.331 0.659
4 Os 0.615 0.615 0.712
5 Os 0.671 0.671 0.333
6 Os 0.945 0.945 0.390

DFT total energy, eV for the cell shown: -426.6
ΔE_f, eV per atom: -0.103
Spin magnetization, μB per cell: 0.00


NaSn2Au2 at its PBEsol-relaxed geometry. Source: Alexandria, functional meta-GGA SCAN.

Cell: 6.491 6.491 6.491 Å, 137.56 137.56 61.57°
Fractional positions:
1 Na 0.000 0.000 0.000
2 Sn 0.250 0.750 0.500
3 Sn 0.750 0.250 0.500
4 Au 0.380 0.380 0.000
5 Au 0.620 0.620 0.000

DFT total energy, eV for the cell shown: -215.6
ΔE_f, eV per atom: -0.239
Spin magnetization, μB per cell: 0.00


BeCo2Br at its PBEsol-relaxed geometry. Source: Alexandria, functional meta-GGA SCAN.

Cell: 5.741 5.741 5.741 Å, 33.76 33.76 33.76°
Fractional positions:
1 Be 0.000 0.000 0.000
2 Co 0.281 0.281 0.281
3 Co 0.719 0.719 0.719
4 Br 0.500 0.500 0.500

Formation energy (no corrections), eV/atom: 0.38
DFT total energy, eV for the cell shown: -56.9
Spin magnetization, μB per cell: 2.95


ScIn2Fe at its PBEsol-relaxed geometry. Source: Alexandria, functional meta-GGA SCAN.

Cell: 5.226 5.226 5.226 Å, 132.91 132.91 68.79°
Fractional positions:
1 Sc 0.000 0.000 0.000
2 In 0.250 0.750 0.500
3 In 0.500 0.500 0.000
4 Fe 0.750 0.250 0.500

DFT total energy, eV for the cell shown: -99.5
ΔE_f, eV per atom: -0.098
Spin magnetization, μB per cell: 2.52


KAuSe2 at its PBEsol-relaxed geometry. Source: Alexandria, functional meta-GGA SCAN.

Cell: 5.867 5.867 5.867 Å, 142.19 117.02 75.86°
Fractional positions:
1 K 0.000 0.000 0.000
2 Au 0.500 0.500 0.000
3 Se 0.327 0.827 0.500
4 Se 0.673 0.173 0.500

Formation energy (no corrections), eV/atom: -0.65
DFT total energy, eV for the cell shown: -120.2
Spin magnetization, μB per cell: 0.00


ZrBeAs2 at its PBEsol-relaxed geometry. Source: Alexandria, functional meta-GGA SCAN.

Cell: 2.959 2.959 8.109 Å, 90.00 90.00 90.00°
Fractional positions:
1 Zr 0.000 0.000 0.000
2 Be 0.500 0.500 0.780
3 As 0.000 0.000 0.634
4 As 0.500 0.500 0.258

DFT total energy, eV for the cell shown: -75.9
ΔE_f, eV per atom: -0.116
Spin magnetization, μB per cell: 0.00


Sc2InSe at its PBEsol-relaxed geometry. Source: Alexandria, functional meta-GGA SCAN.

Cell: 7.876 7.876 7.876 Å, 26.60 26.60 26.60°
Fractional positions:
1 Sc 0.238 0.238 0.238
2 Sc 0.762 0.762 0.762
3 In 0.000 0.000 0.000
4 Se 0.500 0.500 0.500

Formation energy (no corrections), eV/atom: -1.13
DFT total energy, eV for the cell shown: -86.4
Spin magnetization, μB per cell: 0.00


La3GdCl4O4 at its PBEsol-relaxed geometry. Source: Alexandria, functional meta-GGA SCAN.

Cell: 4.029 8.055 6.798 Å, 90.00 90.00 90.00°
Fractional positions:
1 La 0.000 0.000 0.000
2 La 0.500 0.252 0.358
3 La 0.500 0.748 0.358
4 Gd 0.000 0.500 0.015
5 Cl 0.000 0.000 0.549
6 Cl 0.000 0.500 0.557
7 Cl 0.500 0.255 0.813
8 Cl 0.500 0.745 0.813
9 O 0.000 0.256 0.178
10 O 0.000 0.744 0.178
11 O 0.500 0.000 0.180
12 O 0.500 0.500 0.175

Formation energy (no corrections), eV/atom: -3.46
DFT total energy, eV for the cell shown: -286.5
Spin magnetization, μB per cell: 6.93